## CoPHO2 (PBE+U)

Data for CoPHO2 after structural relaxation.

- DFT total energy (eV/atom) = -4.31
- D(E_F) (states/eV/f.u.) = 0.87
- energy above the lowest structure with this stoichiometry (meV per atom) = 7.7

Unit cell a=3.999 b=3.999 c=2.885 alpha=90.00 beta=90.00 gamma=90.00
Element x y z (fractional)
H (0.000, 0.000, 0.000)
O (0.000, 0.500, 0.000)
P (0.000, 0.000, 0.500)
Co (0.500, 0.500, 0.500)
O (0.500, 0.000, 0.000)